# PBE SrTi2Pd, optimized geometry
data_SrTi2Pd
_chemical_formula_sum 'Sr1 Ti2 Pd1'
_cell_length_a 4.791
_cell_length_b 4.791
_cell_length_c 4.791
_cell_angle_alpha 60.00
_cell_angle_beta 60.00
_cell_angle_gamma 60.00
_space_group_name_H-M_alt 'P 1'
_space_group_IT_number 1
loop_
_space_group_symop_operation_xyz
'x,y,z'
loop_
_atom_site_label
_atom_site_fract_x
_atom_site_fract_y
_atom_site_fract_z
Sr1 0.000 0.000 0.000
Ti1 0.250 0.250 0.250
Pd1 0.500 0.500 0.500
Ti2 0.750 0.750 0.750
# Theoretical density ... 6189 kg/m3
# Energy above the lowest structure with this stoichiometry ... 0.0 meV/atom
# Formation energy from the elements ... 0.4362 eV/atom
# D(E_F) ... 1.87 states/eV/atom
# SG ... Fm-3m (225)
# Calculated volume ... 77.74 Å³/f.u.

# PBE SrTiPd, optimized geometry
data_SrTiPd
_chemical_formula_sum 'Sr2 Ti2 Pd2'
_cell_length_a 5.067
_cell_length_b 3.579
_cell_length_c 11.533
_cell_angle_alpha 90.00
_cell_angle_beta 90.00
_cell_angle_gamma 135.05
_space_group_name_H-M_alt 'P 1'
_space_group_IT_number 1
loop_
_space_group_symop_operation_xyz
'x,y,z'
loop_
_atom_site_label
_atom_site_fract_x
_atom_site_fract_y
_atom_site_fract_z
Sr1 0.694 0.389 0.836
Pd1 0.194 0.389 0.000
Sr2 0.694 0.389 0.164
Ti1 0.195 0.389 0.402
Ti2 0.195 0.389 0.598
Pd2 0.695 0.389 0.500
# Theoretical density ... 5437 kg/m3
# Formation energy from the elements ... -0.0468 eV/atom
# D(E_F) ... 1.04 states/eV/atom
# SG ... Cmmm (65)
# Calculated volume ... 73.88 Å³/f.u.

# PBE SrTi2Pd2, optimized geometry
data_SrTi2Pd2
_chemical_formula_sum 'Sr2 Ti4 Pd4'
_cell_length_a 8.115
_cell_length_b 8.115
_cell_length_c 2.933
_cell_angle_alpha 90.00
_cell_angle_beta 90.00
_cell_angle_gamma 90.00
_space_group_name_H-M_alt 'P 1'
_space_group_IT_number 1
loop_
_space_group_symop_operation_xyz
'x,y,z'
loop_
_atom_site_label
_atom_site_fract_x
_atom_site_fract_y
_atom_site_fract_z
Ti1 0.114 0.386 0.000
Pd1 0.825 0.325 0.500
Sr1 0.000 0.000 0.000
Pd2 0.175 0.675 0.500
Ti2 0.386 0.886 0.000
Pd3 0.325 0.175 0.500
Sr2 0.500 0.500 0.000
Pd4 0.675 0.825 0.500
Ti3 0.886 0.614 0.000
Ti4 0.614 0.114 0.000
# Theoretical density ... 6812 kg/m3
# Energy above the lowest structure with this stoichiometry ... 109.1 meV/atom
# Formation energy from the elements ... -0.2278 eV/atom
# D(E_F) ... 1.21 states/eV/atom
# SG ... P4/mbm (127)
# Calculated volume ... 96.57 Å³/f.u.

# PBE SrTiPd2, optimized geometry
data_SrTiPd2
_chemical_formula_sum 'Sr2 Ti2 Pd4'
_cell_length_a 7.522
_cell_length_b 7.522
_cell_length_c 6.233
_cell_angle_alpha 52.88
_cell_angle_beta 52.88
_cell_angle_gamma 90.00
_space_group_name_H-M_alt 'P 1'
_space_group_IT_number 1
loop_
_space_group_symop_operation_xyz
'x,y,z'
loop_
_atom_site_label
_atom_site_fract_x
_atom_site_fract_y
_atom_site_fract_z
Ti1 0.500 0.500 0.000
Sr1 0.000 0.000 0.000
Ti2 0.250 0.750 0.500
Pd1 0.375 0.439 0.750
Sr2 0.750 0.250 0.500
Pd2 0.189 0.625 0.250
Pd3 0.561 0.125 0.250
Pd4 0.875 0.811 0.750
# Theoretical density ... 6293 kg/m3
# Energy above the lowest structure with this stoichiometry ... 362.1 meV/atom
# Formation energy from the elements ... -0.1200 eV/atom
# D(E_F) ... 0.65 states/eV/atom
# SG ... I-42d (122)
# Calculated volume ... 91.91 Å³/f.u.

# PBE SrTiPd2, optimized geometry
data_SrTiPd2
_chemical_formula_sum 'Sr1 Ti1 Pd2'
_cell_length_a 3.306
_cell_length_b 3.306
_cell_length_c 7.459
_cell_angle_alpha 90.00
_cell_angle_beta 90.00
_cell_angle_gamma 90.00
_space_group_name_H-M_alt 'P 1'
_space_group_IT_number 1
loop_
_space_group_symop_operation_xyz
'x,y,z'
loop_
_atom_site_label
_atom_site_fract_x
_atom_site_fract_y
_atom_site_fract_z
Ti1 0.500 0.500 0.000
Pd1 0.000 0.000 0.187
Pd2 0.000 0.000 0.813
Sr1 0.500 0.500 0.500
# Theoretical density ... 7095 kg/m3
# Energy above the lowest structure with this stoichiometry ... 0.0 meV/atom
# Formation energy from the elements ... -0.4821 eV/atom
# D(E_F) ... 0.72 states/eV/atom
# SG ... P4/mmm (123)
# Calculated volume ... 81.52 Å³/f.u.

# PBE SrTi2Pd, optimized geometry
data_SrTi2Pd
_chemical_formula_sum 'Sr2 Ti4 Pd2'
_cell_length_a 4.635
_cell_length_b 4.635
_cell_length_c 10.293
_cell_angle_alpha 76.99
_cell_angle_beta 76.99
_cell_angle_gamma 90.00
_space_group_name_H-M_alt 'P 1'
_space_group_IT_number 1
loop_
_space_group_symop_operation_xyz
'x,y,z'
loop_
_atom_site_label
_atom_site_fract_x
_atom_site_fract_y
_atom_site_fract_z
Ti1 0.875 0.625 0.250
Ti2 0.375 0.125 0.750
Pd1 0.000 0.000 0.000
Sr1 0.250 0.750 0.500
Ti3 0.875 0.125 0.750
Ti4 0.875 0.125 0.250
Pd2 0.750 0.250 0.500
Sr2 0.500 0.500 0.000
# Theoretical density ... 4591 kg/m3
# Energy above the lowest structure with this stoichiometry ... 18.7 meV/atom
# Formation energy from the elements ... 0.4550 eV/atom
# D(E_F) ... 1.50 states/eV/atom
# SG ... I4_1/amd (141)
# Calculated volume ... 104.81 Å³/f.u.